No. 1
An optimized crystal structure of Mn2IrW. Source: Alexandria, functional GGA-PBEsol.

Properties
Crystal system: orthorhombic
SG: Pmmm

abc: 2.6552 3.5973 5.3740
angles: 90.00 90.00 90.00
Atoms (fractional coordinates):
Mn  0.0000  0.0000  0.2396
Mn  0.0000  0.0000  0.7604
Ir  0.5000  0.5000  0.0000
W  0.5000  0.5000  0.5000

***

No. 2
An optimized crystal structure of Mn2IrW. Source: Alexandria, functional GGA-PBEsol.

Properties
Crystal system: tetragonal
SG: I-4m2

abc: 3.6997 3.6997 7.5957
angles: 90.00 90.00 90.00
Atoms (fractional coordinates):
Mn  0.0000  0.0000  0.0000
Mn  0.0000  0.5000  0.2500
Mn  0.5000  0.0000  0.7500
Mn  0.5000  0.5000  0.5000
Ir  0.0000  0.0000  0.5000
Ir  0.5000  0.5000  0.0000
W  0.0000  0.5000  0.7500
W  0.5000  0.0000  0.2500

***

No. 3
An optimized crystal structure of Mn2IrW. Source: Alexandria, functional GGA-PBEsol.

Properties
Crystal system: cubic
SG: F-43m

abc: 5.9854 5.9854 5.9854
angles: 90.00 90.00 90.00
Atoms (fractional coordinates):
Mn  0.0000  0.0000  0.0000
Mn  0.0000  0.5000  0.5000
Mn  0.2500  0.2500  0.2500
Mn  0.2500  0.7500  0.7500
Mn  0.5000  0.0000  0.5000
Mn  0.5000  0.5000  0.0000
Mn  0.7500  0.2500  0.7500
Mn  0.7500  0.7500  0.2500
Ir  0.2500  0.2500  0.7500
Ir  0.2500  0.7500  0.2500
Ir  0.7500  0.2500  0.2500
Ir  0.7500  0.7500  0.7500
W  0.0000  0.0000  0.5000
W  0.0000  0.5000  0.0000
W  0.5000  0.0000  0.0000
W  0.5000  0.5000  0.5000

***

No. 4
An optimized crystal structure of Mn4IrW. Source: Alexandria, functional GGA-PBEsol.

Properties
Crystal system: cubic
SG: F-43m

abc: 4.6355 4.6355 4.6355
angles: 60.00 60.00 60.00
Atoms (fractional coordinates):
Mn  0.3772  0.3772  0.3772
Mn  0.3772  0.3772  0.8685
Mn  0.3772  0.8685  0.3772
Mn  0.8685  0.3772  0.3772
Ir  0.7500  0.7500  0.7500
W  0.0000  0.0000  0.0000

***

No. 5
An optimized crystal structure of Mn2IrW. Source: Alexandria, functional GGA-PBEsol.

Properties
Crystal system: monoclinic
SG: Cm

abc: 8.7329 2.6622 4.5109
angles: 90.00 100.52 90.00
Atoms (fractional coordinates):
Mn  0.0000  0.0000  0.0000
Mn  0.2402  0.5000  0.2202
Mn  0.5000  0.5000  0.0000
Mn  0.7402  0.0000  0.2202
Ir  0.4867  0.0000  0.4683
Ir  0.9867  0.5000  0.4683
W  0.2434  0.0000  0.7349
W  0.7434  0.5000  0.7349

***

No. 6
An optimized crystal structure of Mn2IrW. Source: Alexandria, functional GGA-PBEsol.

Properties
Crystal system: tetragonal
SG: I4/mmm

abc: 3.7465 3.7465 7.3219
angles: 90.00 90.00 90.00
Atoms (fractional coordinates):
Mn  0.0000  0.5000  0.2500
Mn  0.0000  0.5000  0.7500
Mn  0.5000  0.0000  0.2500
Mn  0.5000  0.0000  0.7500
Ir  0.0000  0.0000  0.0000
Ir  0.5000  0.5000  0.5000
W  0.0000  0.0000  0.5000
W  0.5000  0.5000  0.0000

***

No. 7
An optimized crystal structure of MnIr4W. Source: Alexandria, functional GGA-PBEsol.

Properties
Crystal system: cubic
SG: F-43m

abc: 5.0606 5.0606 5.0606
angles: 60.00 60.00 60.00
Atoms (fractional coordinates):
Mn  0.0000  0.0000  0.0000
Ir  0.3747  0.3747  0.3747
Ir  0.3747  0.3747  0.8760
Ir  0.3747  0.8760  0.3747
Ir  0.8760  0.3747  0.3747
W  0.7500  0.7500  0.7500

***

No. 8
An optimized crystal structure of Mn2IrW. Source: Alexandria, functional GGA-PBEsol.

Properties
Crystal system: tetragonal
SG: P4/mmm

abc: 3.7578 3.7578 3.6294
angles: 90.00 90.00 90.00
Atoms (fractional coordinates):
Mn  0.0000  0.5000  0.0000
Mn  0.5000  0.0000  0.0000
Ir  0.0000  0.0000  0.5000
W  0.5000  0.5000  0.5000

***

No. 9
An optimized crystal structure of YMnIr. Source: Alexandria, functional GGA-PBEsol.

Properties
Crystal system: hexagonal
SG: P-6m2

abc: 4.1352 4.1352 3.8686
angles: 90.00 90.00 120.00
Atoms (fractional coordinates):
Y  0.0000  0.0000  0.0000
Mn  0.6667  0.3333  0.5000
Ir  0.3333  0.6667  0.5000

***

No. 10
An optimized crystal structure of YMn2Ir. Source: Alexandria, functional GGA-PBEsol.

Properties
Crystal system: tetragonal
Energy relative to the lowest polymorph listed for this composition (meV per atom): 166
SG: P4/mmm

abc: 3.1231 3.1231 6.7620
angles: 90.00 90.00 90.00
Atoms (fractional coordinates):
Y  0.0000  0.0000  0.0000
Mn  0.5000  0.5000  0.3010
Mn  0.5000  0.5000  0.6990
Ir  0.0000  0.0000  0.5000

***

No. 11
An optimized crystal structure of YMnIr. Source: Alexandria, functional GGA-PBEsol.

Properties
Crystal system: cubic
SG: F-43m

abc: 6.1249 6.1249 6.1249
angles: 90.00 90.00 90.00
Atoms (fractional coordinates):
Y  0.0000  0.0000  0.0000
Y  0.0000  0.5000  0.5000
Y  0.5000  0.0000  0.5000
Y  0.5000  0.5000  0.0000
Mn  0.2500  0.2500  0.7500
Mn  0.2500  0.7500  0.2500
Mn  0.7500  0.2500  0.2500
Mn  0.7500  0.7500  0.7500
Ir  0.0000  0.0000  0.5000
Ir  0.0000  0.5000  0.0000
Ir  0.5000  0.0000  0.0000
Ir  0.5000  0.5000  0.5000

***

No. 12
An optimized crystal structure of YMn2Ir. Source: Alexandria, functional GGA-PBEsol.

Properties
Crystal system: tetragonal
Energy relative to the lowest polymorph listed for this composition (meV per atom): 0
SG: I-4m2

abc: 4.5229 4.5229 6.3841
angles: 90.00 90.00 90.00
Atoms (fractional coordinates):
Y  0.0000  0.0000  0.0000
Y  0.5000  0.5000  0.5000
Mn  0.0000  0.0000  0.5000
Mn  0.0000  0.5000  0.2500
Mn  0.5000  0.0000  0.7500
Mn  0.5000  0.5000  0.0000
Ir  0.0000  0.5000  0.7500
Ir  0.5000  0.0000  0.2500

***

No. 13
An optimized crystal structure of MnZnIr. Source: Alexandria, functional GGA-PBEsol.

Properties
Crystal system: cubic
SG: F-43m

abc: 5.6462 5.6462 5.6462
angles: 90.00 90.00 90.00
Atoms (fractional coordinates):
Mn  0.0000  0.0000  0.0000
Mn  0.0000  0.5000  0.5000
Mn  0.5000  0.0000  0.5000
Mn  0.5000  0.5000  0.0000
Zn  0.0000  0.0000  0.5000
Zn  0.0000  0.5000  0.0000
Zn  0.5000  0.0000  0.0000
Zn  0.5000  0.5000  0.5000
Ir  0.2500  0.2500  0.2500
Ir  0.2500  0.7500  0.7500
Ir  0.7500  0.2500  0.7500
Ir  0.7500  0.7500  0.2500

***

No. 14
An optimized crystal structure of Mn2ZnIr. Source: Alexandria, functional GGA-PBEsol.

Properties
Crystal system: tetragonal
SG: P4mm

abc: 2.6296 2.6296 7.2034
angles: 90.00 90.00 90.00
Atoms (fractional coordinates):
Mn  0.0000  0.0000  0.0000
Mn  0.5000  0.5000  0.2340
Zn  0.0000  0.0000  0.4931
Ir  0.5000  0.5000  0.7663

***

No. 15
An optimized crystal structure of MnZnIr3. Source: Alexandria, functional GGA-PBEsol.

Properties
Crystal system: cubic
Energy relative to the lowest polymorph listed for this composition (meV per atom): 221
SG: Pm-3m

abc: 4.4381 4.4381 4.4381
angles: 90.00 90.00 90.00
Atoms (fractional coordinates):
Mn  0.0000  0.0000  0.0000
Zn  0.5000  0.5000  0.5000
Ir  0.0000  0.5000  0.5000
Ir  0.5000  0.0000  0.5000
Ir  0.5000  0.5000  0.0000

***

No. 16
An optimized crystal structure of MnZnIr3. Source: Alexandria, functional GGA-PBEsol.

Properties
Crystal system: cubic
Energy relative to the lowest polymorph listed for this composition (meV per atom): 0
SG: Pm-3m

abc: 4.3981 4.3981 4.3981
angles: 90.00 90.00 90.00
Atoms (fractional coordinates):
Mn  0.0000  0.0000  0.0000
Zn  0.5000  0.5000  0.5000
Ir  0.0000  0.0000  0.5000
Ir  0.0000  0.5000  0.0000
Ir  0.5000  0.0000  0.0000

***

No. 17
An optimized crystal structure of Mn2ZnIr. Source: Alexandria, functional GGA-PBEsol.

Properties
Crystal system: cubic
SG: F-43m

abc: 5.8897 5.8897 5.8897
angles: 90.00 90.00 90.00
Atoms (fractional coordinates):
Mn  0.0000  0.0000  0.0000
Mn  0.0000  0.5000  0.5000
Mn  0.2500  0.2500  0.2500
Mn  0.2500  0.7500  0.7500
Mn  0.5000  0.0000  0.5000
Mn  0.5000  0.5000  0.0000
Mn  0.7500  0.2500  0.7500
Mn  0.7500  0.7500  0.2500
Zn  0.0000  0.0000  0.5000
Zn  0.0000  0.5000  0.0000
Zn  0.5000  0.0000  0.0000
Zn  0.5000  0.5000  0.5000
Ir  0.2500  0.2500  0.7500
Ir  0.2500  0.7500  0.2500
Ir  0.7500  0.2500  0.2500
Ir  0.7500  0.7500  0.7500

***

No. 18
An optimized crystal structure of MnZnIr. Source: Alexandria, functional GGA-PBEsol.

Properties
Crystal system: tetragonal
SG: I4mm

abc: 2.6778 2.6778 10.6674
angles: 90.00 90.00 90.00
Atoms (fractional coordinates):
Mn  0.0000  0.0000  0.0000
Mn  0.5000  0.5000  0.5000
Zn  0.0000  0.0000  0.6688
Zn  0.5000  0.5000  0.1688
Ir  0.0000  0.0000  0.3519
Ir  0.5000  0.5000  0.8519

***

No. 19
An optimized crystal structure of Mn2ZnIr. Source: Alexandria, functional GGA-PBEsol.

Properties
Crystal system: tetragonal
SG: P4/mmm

abc: 2.6312 2.6312 7.1592
angles: 90.00 90.00 90.00
Atoms (fractional coordinates):
Mn  0.0000  0.0000  0.2465
Mn  0.0000  0.0000  0.7535
Zn  0.5000  0.5000  0.5000
Ir  0.5000  0.5000  0.0000

***

No. 20
An optimized crystal structure of ZrMn2Ir. Source: Alexandria, functional GGA-PBEsol.

Properties
Crystal system: orthorhombic
SG: Immm

abc: 3.6430 3.9428 8.1011
angles: 90.00 90.00 90.00
Atoms (fractional coordinates):
Zr  0.0000  0.0000  0.0000
Zr  0.5000  0.5000  0.5000
Mn  0.0000  0.5000  0.2451
Mn  0.0000  0.5000  0.7549
Mn  0.5000  0.0000  0.2549
Mn  0.5000  0.0000  0.7451
Ir  0.0000  0.0000  0.5000
Ir  0.5000  0.5000  0.0000

***

No. 21
An optimized crystal structure of MoIr7. Source: Alexandria, functional GGA-PBEsol.

Properties
Crystal system: cubic
SG: Fm-3m

abc: 5.4269 5.4269 5.4269
angles: 60.00 60.00 60.00
Atoms (fractional coordinates):
Mo  0.0000  0.0000  0.0000
Ir  0.0000  0.0000  0.5000
Ir  0.0000  0.5000  0.0000
Ir  0.0000  0.5000  0.5000
Ir  0.5000  0.0000  0.0000
Ir  0.5000  0.0000  0.5000
Ir  0.5000  0.5000  0.0000
Ir  0.5000  0.5000  0.5000

***

No. 22
An optimized crystal structure of MoIr5. Source: Alexandria, functional GGA-PBEsol.

Properties
Crystal system: orthorhombic
Energy relative to the lowest polymorph listed for this composition (meV per atom): 0
SG: Cmmm

abc: 3.8438 11.4885 3.8553
angles: 90.00 90.00 90.00
Atoms (fractional coordinates):
Mo  0.0000  0.0000  0.0000
Mo  0.5000  0.5000  0.0000
Ir  0.0000  0.1661  0.5000
Ir  0.0000  0.3391  0.0000
Ir  0.0000  0.5000  0.5000
Ir  0.0000  0.6609  0.0000
Ir  0.0000  0.8339  0.5000
Ir  0.5000  0.0000  0.5000
Ir  0.5000  0.1609  0.0000
Ir  0.5000  0.3339  0.5000
Ir  0.5000  0.6661  0.5000
Ir  0.5000  0.8391  0.0000

***

No. 23
An optimized crystal structure of MoIr. Source: Alexandria, functional GGA-PBEsol.

Properties
Crystal system: monoclinic
SG: Cm

abc: 10.1088 2.7354 6.5073
angles: 90.00 103.88 90.00
Atoms (fractional coordinates):
Mo  0.0000  0.0000  0.0000
Mo  0.0592  0.0000  0.6181
Mo  0.3784  0.0000  0.2840
Mo  0.5000  0.5000  0.0000
Mo  0.5592  0.5000  0.6181
Mo  0.8784  0.5000  0.2840
Ir  0.1607  0.5000  0.3358
Ir  0.2225  0.5000  0.9475
Ir  0.3355  0.0000  0.6708
Ir  0.6607  0.0000  0.3358
Ir  0.7225  0.0000  0.9475
Ir  0.8355  0.5000  0.6708

***

No. 24
An optimized crystal structure of MoIr. Source: Alexandria, functional GGA-PBEsol.

Properties
Crystal system: orthorhombic
SG: Pmma

abc: 4.4146 2.7434 4.7863
angles: 90.00 90.00 90.00
Atoms (fractional coordinates):
Mo  0.2500  0.0000  0.1707
Mo  0.7500  0.0000  0.8293
Ir  0.2500  0.5000  0.6753
Ir  0.7500  0.5000  0.3247

***

No. 25
An optimized crystal structure of Mo2Ir. Source: Alexandria, functional GGA-PBEsol.

Properties
Crystal system: hexagonal
Energy relative to the lowest polymorph listed for this composition (meV per atom): 117
SG: P6_3/mmc

abc: 4.3734 4.3734 5.4394
angles: 90.00 90.00 120.00
Atoms (fractional coordinates):
Mo  0.0000  0.0000  0.0000
Mo  0.0000  0.0000  0.5000
Mo  0.3333  0.6667  0.2500
Mo  0.6667  0.3333  0.7500
Ir  0.3333  0.6667  0.7500
Ir  0.6667  0.3333  0.2500

***

No. 26
An optimized crystal structure of Mo2Ir. Source: Alexandria, functional GGA-PBEsol.

Properties
Crystal system: tetragonal
Energy relative to the lowest polymorph listed for this composition (meV per atom): 0
SG: P4_2/mnm

abc: 9.5653 9.5653 4.9121
angles: 90.00 90.00 90.00
Atoms (fractional coordinates):
Mo  0.0394  0.3717  0.0000
Mo  0.1045  0.1045  0.0000
Mo  0.1283  0.5394  0.5000
Mo  0.1806  0.8194  0.2504
Mo  0.1806  0.8194  0.7496
Mo  0.3194  0.3194  0.2496
Mo  0.3194  0.3194  0.7504
Mo  0.3717  0.0394  0.0000
Mo  0.3955  0.6045  0.5000
Mo  0.4606  0.8717  0.5000
Mo  0.5394  0.1283  0.5000
Mo  0.6045  0.3955  0.5000
Mo  0.6283  0.9606  0.0000
Mo  0.6806  0.6806  0.2496
Mo  0.6806  0.6806  0.7504
Mo  0.8194  0.1806  0.2504
Mo  0.8194  0.1806  0.7496
Mo  0.8717  0.4606  0.5000
Mo  0.8955  0.8955  0.0000
Mo  0.9606  0.6283  0.0000
Ir  0.0000  0.0000  0.5000
Ir  0.0686  0.2646  0.5000
Ir  0.2354  0.5686  0.0000
Ir  0.2646  0.0686  0.5000
Ir  0.4314  0.7646  0.0000
Ir  0.5000  0.5000  0.0000
Ir  0.5686  0.2354  0.0000
Ir  0.7354  0.9314  0.5000
Ir  0.7646  0.4314  0.0000
Ir  0.9314  0.7354  0.5000

***

No. 27
An optimized crystal structure of MoIr. Source: Alexandria, functional GGA-PBEsol.

Properties
Crystal system: orthorhombic
SG: Pnma

abc: 4.7889 4.3959 5.5191
angles: 90.00 90.00 90.00
Atoms (fractional coordinates):
Mo  0.0914  0.2500  0.1223
Mo  0.4086  0.7500  0.6223
Mo  0.5914  0.2500  0.3777
Mo  0.9086  0.7500  0.8777
Ir  0.0842  0.2500  0.6249
Ir  0.4158  0.7500  0.1249
Ir  0.5842  0.2500  0.8751
Ir  0.9158  0.7500  0.3751

***

Number 1: formation energy from the elements 0.04 eV/atom. Number 2: formation energy from the elements -0.07 eV/atom. Number 3: formation energy from the elements 0.06 eV/atom. Number 4: formation energy from the elements -0.09 eV/atom. Number 5: formation energy from the elements 0.03 eV/atom. Number 6: formation energy from the elements 0.00 eV/atom. Number 7: formation energy from the elements 0.36 eV/atom. Number 8: formation energy from the elements -0.07 eV/atom. Number 9: formation energy from the elements -0.23 eV/atom. Number 10: formation energy from the elements 0.22 eV/atom. Number 11: formation energy from the elements 0.18 eV/atom. Number 12: formation energy from the elements 0.06 eV/atom. Number 13: formation energy from the elements 0.39 eV/atom. Number 14: formation energy from the elements 0.02 eV/atom. Number 15: formation energy from the elements 1.62 eV/atom. Number 16: formation energy from the elements 1.40 eV/atom. Number 17: formation energy from the elements -0.04 eV/atom. Number 18: formation energy from the elements -0.08 eV/atom. Number 19: formation energy from the elements 0.01 eV/atom. Number 20: formation energy from the elements -0.05 eV/atom. Number 21: formation energy from the elements -0.14 eV/atom. Number 22: formation energy from the elements -0.21 eV/atom. Number 23: formation energy from the elements -0.24 eV/atom. Number 24: formation energy from the elements -0.35 eV/atom. Number 25: formation energy from the elements -0.03 eV/atom. Number 26: formation energy from the elements -0.15 eV/atom. Number 27: formation energy from the elements -0.29 eV/atom.